The following is a PBE calculation of a geometry-optimized Ac2DyHo structure, from Alexandria via LeMat-Bulk.

Unit cell a=7.629 b=11.975 c=3.816 alpha=90.00 beta=119.82 gamma=90.00
Positions (direct):
Ac  0.000  0.250  0.000
Ac  0.000  0.750  0.000
Ac  0.500  0.250  0.000
Ac  0.500  0.750  0.000
Dy  0.332  0.000  0.335
Dy  0.832  0.500  0.335
Ho  0.332  0.500  0.335
Ho  0.832  0.000  0.335

## Properties
- DOS(E_F) (states/eV/cell) = 13.938
- offset from the most stable computed form (meV per atom) = 52
- magnetization (μB per formula unit) = 0.00
- formation energy (meV per atom) = 102